AlSn2Pb2, optimized geometry, DFT PBE; density of states at the Fermi level = 0.49 states/eV per atom; ΔE to the lowest computed polymorph = 135 meV/atom; uncorrected energy = -3.5454 eV/atom; SG = P4/mbm (127); E_form = 288 meV/atom
1.0
8.332 0.000 0.000
0.000 8.332 0.000
0.000 0.000 4.292
Al Sn Pb
2 4 4
Direct
0.000 0.000 0.000
0.500 0.500 0.000
0.138 0.362 0.500
0.362 0.862 0.500
0.638 0.138 0.500
0.862 0.638 0.500
0.157 0.657 0.000
0.343 0.157 0.000
0.657 0.843 0.000
0.843 0.343 0.000

TaAlSnPb2, optimized geometry, DFT PBE; density of states at the Fermi level = 1.10 states/eV per atom; uncorrected energy = -4.1406 eV/atom; SG = P4/mmm (123); E_form = 1262 meV/atom
1.0
5.294 0.000 0.000
0.000 5.294 0.000
0.000 0.000 5.203
Ta Al Sn Pb
1 1 1 2
Direct
0.000 0.000 0.000
0.500 0.500 0.500
0.500 0.500 0.000
0.000 0.500 0.500
0.500 0.000 0.500

AlZnSnPb, optimized geometry, DFT PBE; density of states at the Fermi level = 0.44 states/eV per atom; uncorrected energy = -2.9953 eV/atom; SG = F-43m (216); E_form = 187 meV/atom
1.0
7.212 0.000 0.000
0.000 7.212 0.000
0.000 0.000 7.212
Al Zn Sn Pb
4 4 4 4
Direct
0.000 0.000 0.000
0.000 0.500 0.500
0.500 0.000 0.500
0.500 0.500 0.000
0.000 0.000 0.500
0.000 0.500 0.000
0.500 0.000 0.000
0.500 0.500 0.500
0.250 0.250 0.250
0.250 0.750 0.750
0.750 0.250 0.750
0.750 0.750 0.250
0.250 0.250 0.750
0.250 0.750 0.250
0.750 0.250 0.250
0.750 0.750 0.750